## SiAsS2 (GGA-PBE)

Data for a relaxed structure of SiAsS2.

Results
total energy = -4.289 eV per atom
polymorph energy (0 for the lowest one) = 0.331 eV per atom

Unit cell a=8.1804 b=8.1804 c=8.1804 alpha=24.76 beta=24.76 gamma=24.76
Last column: nearest neighbours and their distance in Å.
Fractional positions:
Si  0.0000  0.0000  0.0000  2 S 2.42
S  0.1016  0.1016  0.1016  1 Si 2.42, 3 As 2.55
S  0.8984  0.8984  0.8984  1 Si 2.42, 3 As 2.55
As  0.5000  0.5000  0.5000  6 S 2.55